(1)
The following is a GGA-PBE calculation of a relaxed U2Ga2SiPt4 crystal, from Alexandria.

Structure (POSCAR):
```
U2Ga2SiPt4
1.0
-3.198 3.198 4.176
3.198 -3.198 4.176
3.198 3.198 -4.176
U Ga Si Pt
2 2 1 4
Direct
0.250 0.750 0.500
0.750 0.250 0.500
0.189 0.189 0.000
0.811 0.811 0.000
0.500 0.500 0.000
0.234 0.234 0.468
0.234 0.766 0.000
0.766 0.234 0.000
0.766 0.766 0.532
```

Summary:
**Formation energy from raw total energies**: -4.2 eV per formula unit
**Calculated volume**: 18.98 Å³/atom
**Spin magnetization**: 5.12 μB per cell

(2)
The following is a GGA-PBE calculation of a relaxed HoScBeRh crystal, from Alexandria.

Structure (POSCAR):
```
HoScBeRh
1.0
0.000 3.318 3.318
3.318 0.000 3.318
3.318 3.318 0.000
Ho Sc Be Rh
1 1 1 1
Direct
0.000 0.000 0.000
0.500 0.500 0.500
0.250 0.250 0.250
0.750 0.750 0.750
```

Summary:
**Calculated volume**: 18.26 Å³/atom
**Spin magnetization**: 0.00 μB per cell
**E_form**: -1.689 eV per formula unit

(3)
The following is a GGA-PBE calculation of a relaxed Sr3LiCa crystal, from Alexandria.

Structure (POSCAR):
```
Sr3LiCa
1.0
6.912 0.000 0.000
0.000 6.912 0.000
0.000 0.000 6.912
Sr Li Ca
3 1 1
Direct
0.000 0.000 0.500
0.000 0.500 0.000
0.500 0.000 0.000
0.500 0.500 0.500
0.000 0.000 0.000
```

Summary:
**Calculated volume**: 66.04 Å³/atom
**Spin magnetization**: 0.85 μB per cell
**E_form**: 3.286 eV per formula unit

(4)
The following is a GGA-PBE calculation of a relaxed Ho5Th12Bi3 crystal, from Alexandria.

Structure (POSCAR):
```
Ho5Th12Bi3
1.0
-9.319 9.319 9.319
9.319 -9.319 9.319
9.319 9.319 -9.319
Ho Th Bi
20 48 12
Direct
0.000 0.000 0.000
0.000 0.000 0.500
0.000 0.500 0.000
0.000 0.500 0.500
0.125 0.750 0.875
0.125 0.875 0.250
0.250 0.125 0.875
0.250 0.625 0.375
0.375 0.250 0.625
0.375 0.625 0.750
0.500 0.000 0.000
0.500 0.000 0.500
0.500 0.500 0.000
0.500 0.500 0.500
0.625 0.375 0.250
0.625 0.750 0.375
0.750 0.375 0.625
0.750 0.875 0.125
0.875 0.125 0.750
0.875 0.250 0.125
0.069 0.226 0.147
0.069 0.343 0.922
0.078 0.647 0.421
0.078 0.931 0.657
0.079 0.726 0.657
0.079 0.853 0.422
0.147 0.069 0.226
0.147 0.578 0.921
0.157 0.226 0.579
0.157 0.431 0.578
0.226 0.147 0.069
0.226 0.579 0.157
0.274 0.343 0.921
0.274 0.431 0.353
0.343 0.921 0.274
0.343 0.922 0.069
0.353 0.274 0.431
0.353 0.579 0.922
0.421 0.078 0.647
0.421 0.843 0.774
0.422 0.079 0.853
0.422 0.843 0.569
0.431 0.353 0.274
0.431 0.578 0.157
0.569 0.422 0.843
0.569 0.647 0.726
0.578 0.157 0.431
0.578 0.921 0.147
0.579 0.157 0.226
0.579 0.922 0.353
0.647 0.421 0.078
0.647 0.726 0.569
0.657 0.078 0.931
0.657 0.079 0.726
0.726 0.569 0.647
0.726 0.657 0.079
0.774 0.421 0.843
0.774 0.853 0.931
0.843 0.569 0.422
0.843 0.774 0.421
0.853 0.422 0.079
0.853 0.931 0.774
0.921 0.147 0.578
0.921 0.274 0.343
0.922 0.069 0.343
0.922 0.353 0.579
0.931 0.657 0.078
0.931 0.774 0.853
0.125 0.250 0.375
0.125 0.375 0.750
0.250 0.375 0.125
0.250 0.875 0.625
0.375 0.125 0.250
0.375 0.750 0.125
0.625 0.250 0.875
0.625 0.875 0.750
0.750 0.125 0.375
0.750 0.625 0.875
0.875 0.625 0.250
0.875 0.750 0.625
```

Summary:
**Calculated volume**: 40.47 Å³/atom
**Spin magnetization**: 0.00 μB per cell
**E_form**: 17.285 eV per formula unit

(5)
The following is a GGA-PBE calculation of a relaxed KBe2NiBr crystal, from Alexandria.

Structure (POSCAR):
```
KBe2NiBr
1.0
4.668 0.000 0.000
0.000 4.668 0.000
0.000 0.000 5.694
K Be Ni Br
1 2 1 1
Direct
0.000 0.000 0.000
0.000 0.500 0.500
0.500 0.000 0.500
0.500 0.500 0.000
0.000 0.000 0.500
```

Summary:
**Formation energy from raw total energies**: 6.8 eV per formula unit
**Calculated volume**: 24.82 Å³/atom
**Spin magnetization**: 0.30 μB per cell

(6)
The following is a GGA-PBE calculation of a relaxed NaMnCdGe2 crystal, from Alexandria.

Structure (POSCAR):
```
NaMnCdGe2
1.0
4.561 0.000 0.000
0.000 4.561 0.000
0.000 0.000 5.166
Na Mn Cd Ge
1 1 1 2
Direct
0.000 0.000 0.000
0.500 0.500 0.500
0.500 0.500 0.000
0.000 0.500 0.500
0.500 0.000 0.500
```

Summary:
**Calculated volume**: 21.50 Å³/atom
**Spin magnetization**: 0.00 μB per cell
**E_form**: 0.175 eV per formula unit

Energy? In order: -0.2550 -0.2175 -0.0417 -0.1953 -0.0677 -0.1504 hartree per atom.